1.
NpUOs2: relaxed, GGA-PBE.

Summary:
energy: -11.593 eV per atom
space-group type: No. 123
offset from the most stable computed form: 0.0000 eV per atom

abc: 3.156 3.156 7.622
angles: 90.00 90.00 90.00
Fractional positions:
Np1 0.500 0.500 0.500
Os1 0.000 0.000 0.749
Os2 0.000 0.000 0.251
U1 0.500 0.500 0.000

2.
NpUOs4: relaxed, GGA-PBE.

Summary:
energy: -11.547 eV per atom
space-group type: No. 216

abc: 5.330 5.330 5.330
angles: 60.00 60.00 60.00
Fractional positions:
Os1 0.625 0.625 0.625
Os2 0.625 0.125 0.625
Os3 0.625 0.625 0.125
Os4 0.125 0.625 0.625
U1 0.000 0.000 0.000
Np1 0.250 0.250 0.250

3.
NpUOs2: relaxed, GGA-PBE.

Summary:
energy: -11.340 eV per atom
space-group type: No. 166
offset from the most stable computed form: 0.2523 eV per atom

abc: 2.852 2.852 10.050
angles: 81.84 81.84 60.00
Fractional positions:
U1 0.000 0.000 0.000
Np1 0.500 0.500 0.500
Os1 0.250 0.250 0.250
Os2 0.750 0.750 0.750

Number 1: magnetic moment 4.74 μB/f.u.. Number 2: magnetic moment 4.95 μB/f.u.. Number 3: magnetic moment 2.46 μB/f.u..